This record from the Alexandria database describes a relaxed Tl2CoAsO6 crystal. The functional is PBE with a Hubbard U.

a = 5.226 Å, b = 5.226 Å, c = 4.961 Å
α = 90.00°, β = 90.00°, γ = 90.00°
Element x y z (fractional)
Tl: 0.000 0.500 0.000
Tl: 0.500 0.000 0.000
Co: 0.000 0.000 0.527
As: 0.500 0.500 0.565
O: 0.000 0.000 0.173
O: 0.260 0.260 0.672
O: 0.260 0.740 0.672
O: 0.500 0.500 0.212
O: 0.740 0.260 0.672
O: 0.740 0.740 0.672

Properties
- Total magnetic moment: 3.52 μB per cell
- Raw total energy: -5.177 eV/atom
- V: 136 Å³ per cell